No. 1
Material: BaMnP2S
Method: DFT, SCAN
State: single point on PBEsol structure

Cell: 4.4032 4.4032 5.2103 Å, 90.00 90.00 90.00°
Atoms (fractional coordinates):
1 Ba 0.0000 0.0000 0.0000
2 Mn 0.5000 0.5000 0.5000
3 P 0.0000 0.5000 0.5000
4 P 0.5000 0.0000 0.5000
5 S 0.5000 0.5000 0.0000

## Properties
The calculated total energy comes out at -18.290 eV per atom. Its formation energy from raw total energies is -0.644 eV/atom. For the calculated density, the calculation gives 4.7 g/cm3.

No. 2
Material: BaMnPb2
Method: DFT, SCAN
State: single point on PBEsol structure

Cell: 5.4607 5.4607 5.4607 Å, 60.00 60.00 60.00°
Atoms (fractional coordinates):
1 Ba 0.0000 0.0000 0.0000
2 Mn 0.5000 0.5000 0.5000
3 Pb 0.2500 0.2500 0.2500
4 Pb 0.7500 0.7500 0.7500

## Properties
The calculated total energy comes out at -52.536 eV per atom. For the calculated density, the calculation gives 8.7 g/cm3.